Here is a crystal of Ti3Sn relaxed with PBEsol from Alexandria via LeMat-Bulk. Energies are from SCAN.

The space group is Cmcm (No. 63) and the conventional cell measures 5.678, 10.374 and 4.682 Å, with angles of 90.00, 90.00 and 90.00 degrees. The inequivalent atoms are Ti at (0.000, 0.178, 0.250), Ti at (0.241, 0.073, 0.750) and Sn at (0.000, 0.333, 0.750).

The value obtained for the formation energy is -0.359 eV/atom.


Here is a crystal of BaAgHgOs2 relaxed with PBEsol from Alexandria via LeMat-Bulk. Energies are from SCAN.

The space group is P4/mmm (No. 123) and the conventional cell measures 4.978, 4.978 and 5.079 Å, with angles of 90.00, 90.00 and 90.00 degrees. The inequivalent atoms are Ba at (0.000, 0.000, 0.000), Ag at (0.500, 0.500, 0.500), Hg at (0.500, 0.500, 0.000) and Os at (0.000, 0.500, 0.500).

The value obtained for the formation energy is 1.586 eV/atom.


Here is a crystal of KAs2Se relaxed with PBEsol from Alexandria via LeMat-Bulk. Energies are from SCAN.

The space group is C2/m (No. 12) and the conventional cell measures 11.894, 3.700 and 5.224 Å, with angles of 90.00, 100.41 and 90.00 degrees. The inequivalent atoms are K at (0.000, 0.000, 0.000), As at (0.222, 0.500, 0.632) and Se at (0.000, 0.500, 0.500).

As for the formation energy (no corrections): -0.41 eV/atom.


Here is a crystal of HgRh3I relaxed with PBEsol from Alexandria via LeMat-Bulk. Energies are from SCAN.

The space group is Pm-3m (No. 221) and the conventional cell measures 4.919, 4.919 and 4.919 Å, with angles of 90.00, 90.00 and 90.00 degrees. The inequivalent atoms are Hg at (0.000, 0.000, 0.000), Rh at (0.000, 0.000, 0.500) and I at (0.500, 0.500, 0.500).

As for the formation energy (no corrections): 1.56 eV/atom.


Here is a crystal of Tb3Dy relaxed with PBEsol from Alexandria via LeMat-Bulk. Energies are from SCAN.

The space group is I4/mmm (No. 139) and the conventional cell measures 4.912, 4.912 and 9.827 Å, with angles of 90.00, 90.00 and 90.00 degrees. The inequivalent atoms are Tb at (0.000, 0.000, 0.000), Tb at (0.000, 0.500, 0.250) and Dy at (0.000, 0.000, 0.500).

The value obtained for the formation energy is 0.016 eV/atom.


Here is a crystal of KPH3NO3 relaxed with PBEsol from Alexandria via LeMat-Bulk. Energies are from SCAN.

The space group is P2_1/c (No. 14) and the conventional cell measures 6.074, 6.853 and 11.801 Å, with angles of 90.00, 120.27 and 90.00 degrees. The inequivalent atoms are K at (0.040, 0.011, 0.291), P at (0.341, 0.657, 0.589), H at (0.154, 0.151, 0.074), H at (0.357, 0.152, 0.011), H at (0.482, 0.166, 0.178), N at (0.334, 0.102, 0.090), O at (0.132, 0.707, 0.450), O at (0.281, 0.718, 0.695) and O at (0.390, 0.206, 0.881).

The final energy is -7.928 eV per atom.


Here is a crystal of Ta2FeHg relaxed with PBEsol from Alexandria via LeMat-Bulk. Energies are from SCAN.

The space group is P4/mmm (No. 123) and the conventional cell measures 2.860, 2.860 and 7.864 Å, with angles of 90.00, 90.00 and 90.00 degrees. The inequivalent atoms are Ta at (0.000, 0.000, 0.208), Fe at (0.500, 0.500, 0.000) and Hg at (0.500, 0.500, 0.500).

The value obtained for the formation energy is 0.152 eV/atom.


Here is a crystal of CoPtRh2 relaxed with PBEsol from Alexandria via LeMat-Bulk. Energies are from SCAN.

The space group is C2/m (No. 12) and the conventional cell measures 5.220, 9.039 and 2.633 Å, with angles of 90.00, 119.30 and 90.00 degrees. The inequivalent atoms are Co at (0.000, 0.000, 0.000), Pt at (0.000, 0.500, 0.000) and Rh at (0.250, 0.250, 0.500).

The value obtained for the formation energy is 0.067 eV/atom.


Here is a crystal of YMgCu relaxed with PBEsol from Alexandria via LeMat-Bulk. Energies are from SCAN.

The space group is I4/mmm (No. 139) and the conventional cell measures 4.053, 4.053 and 15.292 Å, with angles of 90.00, 90.00 and 90.00 degrees. The inequivalent atoms are Y at (0.000, 0.000, 0.178), Mg at (0.000, 0.500, 0.000) and Cu at (0.000, 0.000, 0.372).

The calculation puts the offset from the most stable computed form at 0.063 eV per atom. The value obtained for the formation energy is -0.209 eV/atom.


Here is a crystal of K6Na14Tl18Hg relaxed with PBEsol from Alexandria via LeMat-Bulk. Energies are from SCAN.

The space group is Pm-3 (No. 200) and the conventional cell measures 10.531, 10.531 and 10.531 Å, with angles of 90.00, 90.00 and 90.00 degrees. The inequivalent atoms are K at (0.000, 0.311, 0.500), Na at (0.000, 0.500, 0.166), Na at (0.219, 0.219, 0.219), Tl at (0.000, 0.000, 0.220), Tl at (0.244, 0.500, 0.345) and Hg at (0.500, 0.500, 0.500).

The value obtained for the formation energy is -0.238 eV/atom.


Here is a crystal of BaTaW2 relaxed with PBEsol from Alexandria via LeMat-Bulk. Energies are from SCAN.

The space group is Imm2 (No. 44) and the conventional cell measures 3.273, 4.443 and 14.114 Å, with angles of 90.00, 90.00 and 90.00 degrees. The inequivalent atoms are Ba at (0.000, 0.000, 0.000), Ta at (0.000, 0.500, 0.762), W at (0.000, 0.000, 0.652) and W at (0.000, 0.500, 0.282).

The calculation puts the offset from the most stable computed form at 0.000 eV per atom. The value obtained for the formation energy is 1.022 eV/atom.


Here is a crystal of CuNiIO2 relaxed with PBEsol from Alexandria via LeMat-Bulk. Energies are from SCAN.

The space group is P4/mmm (No. 123) and the conventional cell measures 3.618, 3.618 and 6.128 Å, with angles of 90.00, 90.00 and 90.00 degrees. The inequivalent atoms are Cu at (0.000, 0.000, 0.000), Ni at (0.500, 0.500, 0.500), I at (0.000, 0.000, 0.500) and O at (0.000, 0.500, 0.000).

As for the formation energy (no corrections): 0.23 eV/atom.